# 1
# HRh2Pb | Alexandria | PBE | relaxed
# N(E_F)   14.1 states/eV per cell
# Total magnetic moment   0.00 μB per cell
# Relative energy among the computed polymorphs   0 meV per atom
# Crystal system   orthorhombic
data_HRh2Pb
_symmetry_space_group_name_H-M 'P n m a'
_symmetry_Int_Tables_number 62
_cell_length_a 7.052
_cell_length_b 5.674
_cell_length_c 5.785
_cell_angle_alpha 90.00
_cell_angle_beta 90.00
_cell_angle_gamma 90.00
loop_
_symmetry_equiv_pos_as_xyz
'x,y,z'
'-x,-y,-z'
'-x+1/2,-y,z+1/2'
'x+1/2,y,-z+1/2'
'x+1/2,-y+1/2,-z+1/2'
'-x+1/2,y+1/2,z+1/2'
'-x,y+1/2,-z'
'x,-y+1/2,z'
loop_
_atom_site_label
_atom_site_fract_x
_atom_site_fract_y
_atom_site_fract_z
_atom_site_occupancy
H1 0.050 0.250 0.194 1
Rh1 0.000 0.000 0.000 1
Rh2 0.161 0.750 0.613 1
Pb1 0.177 0.250 0.638 1


# 2
# BeNi | Alexandria | PBE | relaxed
# N(E_F)   1.1 states/eV per cell
# Total magnetic moment   0.00 μB per cell
# E_form   -0.475 eV/atom
# Crystal system   cubic
data_BeNi
_symmetry_space_group_name_H-M 'P m -3 m'
_symmetry_Int_Tables_number 221
_symmetry_space_group_name_Hall '-P 4 2 3'
_cell_length_a 2.610
_cell_length_b 2.610
_cell_length_c 2.610
_cell_angle_alpha 90.00
_cell_angle_beta 90.00
_cell_angle_gamma 90.00
loop_
_atom_site_label
_atom_site_fract_x
_atom_site_fract_y
_atom_site_fract_z
_atom_site_occupancy
Be1 0.000 0.000 0.000 1
Ni1 0.500 0.500 0.500 1


# 3
# BaHg2Mo | Alexandria | PBE | relaxed
# N(E_F)   3.7 states/eV per cell
# Total magnetic moment   2.55 μB per cell
# Relative energy among the computed polymorphs   51 meV per atom
# E_form   0.416 eV/atom
# Crystal system   tetragonal
data_BaHg2Mo
_symmetry_space_group_name_H-M 'P 4/m m m'
_symmetry_Int_Tables_number 123
_symmetry_space_group_name_Hall '-P 4 2'
_cell_length_a 3.639
_cell_length_b 3.639
_cell_length_c 7.881
_cell_angle_alpha 90.00
_cell_angle_beta 90.00
_cell_angle_gamma 90.00
loop_
_atom_site_label
_atom_site_fract_x
_atom_site_fract_y
_atom_site_fract_z
_atom_site_occupancy
Ba1 0.000 0.000 0.000 1
Hg1 0.500 0.500 0.308 1
Mo1 0.000 0.000 0.500 1


# 4
# NiMoSeN2 | Alexandria | PBE | relaxed
# N(E_F)   2.5 states/eV per cell
# Total magnetic moment   0.47 μB per cell
# Relative energy among the computed polymorphs   685 meV per atom
# Crystal system   tetragonal
# Uncorrected formation energy   1.326 eV/atom
data_NiMoSeN2
_symmetry_space_group_name_H-M 'P 4/m m m'
_symmetry_Int_Tables_number 123
_symmetry_space_group_name_Hall '-P 4 2'
_cell_length_a 3.758
_cell_length_b 3.758
_cell_length_c 4.747
_cell_angle_alpha 90.00
_cell_angle_beta 90.00
_cell_angle_gamma 90.00
loop_
_atom_site_label
_atom_site_fract_x
_atom_site_fract_y
_atom_site_fract_z
_atom_site_occupancy
Ni1 0.000 0.000 0.000 1
Mo1 0.500 0.500 0.500 1
Se1 0.000 0.000 0.500 1
N1 0.000 0.500 0.000 1


# 5
# LaZnCd | Alexandria | PBE | relaxed
# N(E_F)   5.0 states/eV per cell
# Total magnetic moment   0.00 μB per cell
# E_form   -0.139 eV/atom
# Crystal system   orthorhombic
data_LaZnCd
_symmetry_space_group_name_H-M 'I m m 2'
_symmetry_Int_Tables_number 44
_cell_length_a 3.464
_cell_length_b 4.683
_cell_length_c 9.489
_cell_angle_alpha 90.00
_cell_angle_beta 90.00
_cell_angle_gamma 90.00
loop_
_symmetry_equiv_pos_as_xyz
'x,y,z'
'-x,-y,z'
'-x,y,z'
'x,-y,z'
'x+1/2,y+1/2,z+1/2'
'-x+1/2,-y+1/2,z+1/2'
'-x+1/2,y+1/2,z+1/2'
'x+1/2,-y+1/2,z+1/2'
loop_
_atom_site_label
_atom_site_fract_x
_atom_site_fract_y
_atom_site_fract_z
_atom_site_occupancy
La1 0.000 0.000 0.000 1
Zn1 0.000 0.000 0.664 1
Cd1 0.000 0.000 0.332 1


# 6
# Ac19Nd6Sm4 | Alexandria | PBE | relaxed
# N(E_F)   86.6 states/eV per cell
# Total magnetic moment   0.00 μB per cell
# E_form   0.340 eV/atom
# Crystal system   cubic
data_Ac19Nd6Sm4
_symmetry_space_group_name_H-M 'I 2 3'
_symmetry_Int_Tables_number 197
_symmetry_space_group_name_Hall 'I 2 2 3'
_cell_length_a 13.596
_cell_length_b 13.596
_cell_length_c 13.596
_cell_angle_alpha 90.00
_cell_angle_beta 90.00
_cell_angle_gamma 90.00
loop_
_atom_site_label
_atom_site_fract_x
_atom_site_fract_y
_atom_site_fract_z
_atom_site_occupancy
Ac1 0.000 0.000 0.000 1
Ac2 0.000 0.000 0.265 1
Ac3 0.062 0.274 0.282 1
Nd1 0.000 0.384 0.500 1
Sm1 0.177 0.177 0.823 1


# 7
# LaScCo2 | Alexandria | PBE | relaxed
# N(E_F)   4.7 states/eV per cell
# Total magnetic moment   3.08 μB per cell
# Relative energy among the computed polymorphs   211 meV per atom
# E_form   0.085 eV/atom
# Crystal system   tetragonal
data_LaScCo2
_symmetry_space_group_name_H-M 'P 4 m m'
_symmetry_Int_Tables_number 99
_cell_length_a 3.175
_cell_length_b 3.175
_cell_length_c 7.777
_cell_angle_alpha 90.00
_cell_angle_beta 90.00
_cell_angle_gamma 90.00
loop_
_symmetry_equiv_pos_as_xyz
'x,y,z'
'-y,x,z'
'-x,-y,z'
'y,-x,z'
'-x,y,z'
'y,x,z'
'x,-y,z'
'-y,-x,z'
loop_
_atom_site_label
_atom_site_fract_x
_atom_site_fract_y
_atom_site_fract_z
_atom_site_occupancy
La1 0.000 0.000 0.000 1
Sc1 0.500 0.500 0.393 1
Co1 0.000 0.000 0.595 1
Co2 0.500 0.500 0.731 1


# 8
# Cd2GaAu2 | Alexandria | PBE | relaxed
# N(E_F)   3.0 states/eV per cell
# Total magnetic moment   0.00 μB per cell
# Relative energy among the computed polymorphs   39 meV per atom
# E_form   -0.122 eV/atom
# Crystal system   tetragonal
data_Cd2GaAu2
_symmetry_space_group_name_H-M 'P 4/m b m'
_symmetry_Int_Tables_number 127
_symmetry_space_group_name_Hall '-P 4 2ab'
_cell_length_a 7.078
_cell_length_b 7.078
_cell_length_c 4.099
_cell_angle_alpha 90.00
_cell_angle_beta 90.00
_cell_angle_gamma 90.00
loop_
_atom_site_label
_atom_site_fract_x
_atom_site_fract_y
_atom_site_fract_z
_atom_site_occupancy
Cd1 0.154 0.346 0.000 1
Ga1 0.000 0.000 0.500 1
Au1 0.150 0.650 0.500 1


# 9
# Pa2H5 | Alexandria | PBE | relaxed
# N(E_F)   16.2 states/eV per cell
# Electronic total energy   -153.0 eV for the cell shown
# Total magnetic moment   0.00 μB per cell
# Crystal system   orthorhombic
data_Pa2H5
_symmetry_space_group_name_H-M 'I b a m'
_symmetry_Int_Tables_number 72
_symmetry_space_group_name_Hall '-I 2 2c'
_cell_length_a 5.711
_cell_length_b 11.415
_cell_length_c 4.193
_cell_angle_alpha 90.00
_cell_angle_beta 90.00
_cell_angle_gamma 90.00
loop_
_atom_site_label
_atom_site_fract_x
_atom_site_fract_y
_atom_site_fract_z
_atom_site_occupancy
Pa1 0.246 0.124 0.000 1
H1 0.000 0.252 0.250 1
H2 0.000 0.500 0.250 1
H3 0.137 0.069 0.500 1


# 10
# CaMnTl3 | Alexandria | PBE | relaxed
# N(E_F)   2.7 states/eV per cell
# Total magnetic moment   2.13 μB per cell
# Relative energy among the computed polymorphs   0 meV per atom
# E_form   0.137 eV/atom
# Crystal system   cubic
data_CaMnTl3
_symmetry_space_group_name_H-M 'P m -3 m'
_symmetry_Int_Tables_number 221
_symmetry_space_group_name_Hall '-P 4 2 3'
_cell_length_a 5.196
_cell_length_b 5.196
_cell_length_c 5.196
_cell_angle_alpha 90.00
_cell_angle_beta 90.00
_cell_angle_gamma 90.00
loop_
_atom_site_label
_atom_site_fract_x
_atom_site_fract_y
_atom_site_fract_z
_atom_site_occupancy
Ca1 0.000 0.000 0.000 1
Mn1 0.500 0.500 0.500 1
Tl1 0.000 0.500 0.500 1


# 11
# Sc4BeAl | Alexandria | PBE | relaxed
# N(E_F)   20.8 states/eV per cell
# Total magnetic moment   0.00 μB per cell
# E_form   0.498 eV/atom
# Crystal system   cubic
data_Sc4BeAl
_symmetry_space_group_name_H-M 'F -4 3 m'
_symmetry_Int_Tables_number 216
_symmetry_space_group_name_Hall 'F -4 2 3'
_cell_length_a 8.005
_cell_length_b 8.005
_cell_length_c 8.005
_cell_angle_alpha 90.00
_cell_angle_beta 90.00
_cell_angle_gamma 90.00
loop_
_atom_site_label
_atom_site_fract_x
_atom_site_fract_y
_atom_site_fract_z
_atom_site_occupancy
Sc1 0.125 0.125 0.125 1
Be1 0.000 0.000 0.500 1
Al1 0.250 0.250 0.750 1


# 12
# MnCoH2 | Alexandria | PBE | relaxed
# N(E_F)   4.9 states/eV per cell
# Total magnetic moment   16.62 μB per cell
# Relative energy among the computed polymorphs   58 meV per atom
# Crystal system   orthorhombic
data_MnCoH2
_symmetry_space_group_name_H-M 'P n a 21'
_symmetry_Int_Tables_number 33
_cell_length_a 5.206
_cell_length_b 5.392
_cell_length_c 4.295
_cell_angle_alpha 90.00
_cell_angle_beta 90.00
_cell_angle_gamma 90.00
loop_
_symmetry_equiv_pos_as_xyz
'x,y,z'
'-x,-y,z+1/2'
'-x+1/2,y+1/2,z+1/2'
'x+1/2,-y+1/2,z'
loop_
_atom_site_label
_atom_site_fract_x
_atom_site_fract_y
_atom_site_fract_z
_atom_site_occupancy
Mn1 0.139 0.128 0.000 1
Co1 0.065 0.656 0.985 1
H1 0.041 0.613 0.360 1
H2 0.122 0.100 0.437 1


Which of these has the highest total magnetic moment?
MnCoH2


Which of these has the highest N(E_F)?
Ac19Nd6Sm4


The highest total magnetic moment belongs to which entry?
MnCoH2